Density functional theory data (PBE) for a relaxed Nd2NF crystal.

Summary:
The symmetry is No. 59. The calculation puts the density of states at the Fermi level at 1.4 states/eV/f.u. For the total energy, the calculation gives -6.66 eV/atom. The calculated density comes out at 7.5 Mg/m³.

Cell lengths 3.5516, 6.3741, 6.3236 Å; angles 90.00, 90.00, 90.00 degrees
Last column: nearest neighbours and their distance in Å.
Fractional positions:
1 Nd 0.2500 0.0053 0.2214  3 N 2.48-2.61, 3 F 2.71-2.74
2 Nd 0.2500 0.4947 0.2214  3 N 2.48-2.61, 3 F 2.71-2.74
3 Nd 0.7500 0.5053 0.7786  3 N 2.48-2.61, 3 F 2.71-2.74
4 Nd 0.7500 0.9947 0.7786  3 N 2.48-2.61, 3 F 2.71-2.74
5 N 0.2500 0.7500 0.8988  6 Nd 2.48-2.61
6 N 0.7500 0.2500 0.1012  6 Nd 2.48-2.61
7 F 0.2500 0.2500 0.5710  6 Nd 2.71-2.74
8 F 0.7500 0.7500 0.4290  6 Nd 2.71-2.74

Density functional theory data (PBE) for a relaxed Nd2NF crystal.

Summary:
The symmetry is No. 123. The calculation puts the density of states at the Fermi level at 1.4 states/eV/f.u. For the total energy, the calculation gives -6.34 eV/atom. The calculated density comes out at 8.4 Mg/m³.

Cell lengths 3.1598, 3.1598, 6.3716 Å; angles 90.00, 90.00, 90.00 degrees
Last column: nearest neighbours and their distance in Å.
Fractional positions:
1 Nd 0.0000 0.0000 0.2283  4 N 2.67, 4 F 2.83, 1 Nd 2.91
2 Nd 0.0000 0.0000 0.7717  4 N 2.67, 4 F 2.83, 1 Nd 2.91
3 N 0.5000 0.5000 0.0000  8 Nd 2.67
4 F 0.5000 0.5000 0.5000  8 Nd 2.83, 4 F 3.16

Density functional theory data (PBE) for a relaxed Nd2NF crystal.

Summary:
The symmetry is No. 160. The calculation puts the density of states at the Fermi level at 0.6 states/eV/f.u. For the total energy, the calculation gives -6.87 eV/atom. The calculated density comes out at 7.4 Mg/m³.

Cell lengths 6.7160, 6.7160, 6.7160 Å; angles 31.13, 31.13, 31.13 degrees
Last column: nearest neighbours and their distance in Å.
Fractional positions:
1 Nd 0.0000 0.0000 0.0000  3 N 2.51, 3 F 2.78
2 Nd 0.1925 0.1925 0.1925  3 N 2.45
3 N 0.5935 0.5935 0.5935  6 Nd 2.45-2.51
4 F 0.7633 0.7633 0.7633  6 Nd 2.78

Density functional theory data (PBE) for a relaxed NdNpN2F crystal.

Summary:
The symmetry is No. 129. The calculation puts the density of states at the Fermi level at 3.0 states/eV/f.u. For the total energy, the calculation gives -9.24 eV/atom. The calculated density comes out at 10.0 Mg/m³.

Cell lengths 3.5562, 3.5562, 11.2153 Å; angles 90.00, 90.00, 90.00 degrees
Last column: nearest neighbours and their distance in Å.
Fractional positions:
1 Nd 0.2500 0.2500 0.1527  4 F 2.47, 5 N 2.61-2.73
2 Nd 0.7500 0.7500 0.8473  4 F 2.47, 5 N 2.61-2.73
3 Np 0.2500 0.2500 0.6042  1 N 2.01
4 Np 0.7500 0.7500 0.3958  1 N 2.01
5 N 0.2500 0.2500 0.3959  5 Np 2.34-2.51
6 N 0.2500 0.2500 0.7838  1 Np 2.01
7 N 0.7500 0.7500 0.2162  1 Np 2.01
8 N 0.7500 0.7500 0.6041  5 Np 2.34-2.51
9 F 0.2500 0.7500 0.0000  4 Nd 2.47, 4 F 2.51
10 F 0.7500 0.2500 0.0000  4 Nd 2.47, 4 F 2.51

Density functional theory data (PBE) for a relaxed Nd2TeNF crystal.

Summary:
The symmetry is No. 119. The calculation puts the density of states at the Fermi level at 0.0 states/eV/f.u. For the total energy, the calculation gives -6.71 eV/atom. The calculated density comes out at 6.8 Mg/m³.

Cell lengths 7.1852, 7.1852, 7.1852 Å; angles 147.04, 147.04, 47.31 degrees
Last column: nearest neighbours and their distance in Å.
Fractional positions:
1 Nd 0.1554 0.1554 0.0000  2 F 2.39, 2 N 2.39
2 Nd 0.8446 0.8446 0.0000  2 F 2.39, 2 N 2.39
3 Te 0.5000 0.5000 0.0000  8 Nd 3.53, 4 F 3.87, 4 N 3.87
4 N 0.2500 0.7500 0.5000  4 Nd 2.39
5 F 0.7500 0.2500 0.5000  4 Nd 2.39

Density functional theory data (PBE) for a relaxed NdUN2F crystal.

Summary:
The symmetry is No. 129. The calculation puts the density of states at the Fermi level at 3.8 states/eV/f.u. For the total energy, the calculation gives -9.01 eV/atom. The calculated density comes out at 10.1 Mg/m³.

Cell lengths 3.5251, 3.5251, 11.3952 Å; angles 90.00, 90.00, 90.00 degrees
Last column: nearest neighbours and their distance in Å.
Fractional positions:
1 Nd 0.2500 0.2500 0.1511  4 F 2.46, 5 N 2.60-2.75
2 Nd 0.7500 0.7500 0.8489  4 F 2.46, 5 N 2.60-2.75
3 U 0.2500 0.2500 0.6061  1 N 2.03
4 U 0.7500 0.7500 0.3939  1 N 2.03
5 N 0.2500 0.2500 0.3923  5 U 2.44-2.49
6 N 0.2500 0.2500 0.7842  1 U 2.03
7 N 0.7500 0.7500 0.2158  1 U 2.03
8 N 0.7500 0.7500 0.6077  5 U 2.44-2.49
9 F 0.2500 0.7500 0.0000  4 Nd 2.46, 4 F 2.49
10 F 0.7500 0.2500 0.0000  4 Nd 2.46, 4 F 2.49